(1)
LiTa2Tc (PBEsol, relaxed); total energy = -37.70 eV per formula unit; crystal system = orthorhombic; symmetry = Cmmm
1.0
1.567 -2.289 0.000
1.567 2.289 0.000
0.000 0.000 9.309
Li Ta Tc
1 2 1
direct
0.000 0.000 0.000
0.500 0.500 0.270
0.500 0.500 0.730
0.000 0.000 0.500

---

(2)
LiTa2Tc (PBEsol, relaxed); total energy = -37.59 eV per formula unit; crystal system = monoclinic; symmetry = P2/m
1.0
2.704 0.000 0.000
0.000 4.358 0.000
-0.857 0.000 5.349
Li Ta Tc
1 2 1
direct
0.000 0.000 0.000
0.252 0.500 0.740
0.748 0.500 0.260
0.500 0.000 0.500

---

(3)
LiTaTc2 (PBEsol, relaxed); energy above the lowest structure with this stoichiometry = 0.0000 eV per atom; crystal system = orthorhombic; symmetry = Immm
1.0
-1.542 2.202 4.250
1.542 -2.202 4.250
1.542 2.202 -4.250
Li Ta Tc
1 1 2
direct
0.000 0.000 0.000
0.500 0.500 0.000
0.255 0.755 0.500
0.745 0.245 0.500